# 1
## CaMg3Ta (GGA-PBE)

Data for crystalline CaMg3Ta at its relaxed geometry.

Unit cell a=5.4092 b=5.4092 c=5.4092 alpha=90.00 beta=90.00 gamma=90.00
With the nearest neighbours (Å) after each atom.
Element x y z (fractional)
Ca  0.0000  0.0000  0.0000  12 Mg 3.82
Mg  0.0000  0.5000  0.5000  2 Ta 2.70
Mg  0.5000  0.0000  0.5000  2 Ta 2.70
Mg  0.5000  0.5000  0.0000  2 Ta 2.70
Ta  0.5000  0.5000  0.5000  6 Mg 2.70

Computed properties:
* E_form: 0.88 eV/atom
* ΔE to the lowest computed polymorph: 0.0000 eV/atom
* E_tot: -2.85 eV/atom

# 2
## TaTeRh2 (GGA-PBE)

Data for crystalline TaTeRh2 at its relaxed geometry.

Unit cell a=4.0949 b=4.0949 c=4.0036 alpha=90.00 beta=90.00 gamma=90.00
With the nearest neighbours (Å) after each atom.
Element x y z (fractional)
Ta  0.0000  0.0000  0.0000  8 Rh 2.86, 4 Te 2.90
Te  0.5000  0.5000  0.0000  8 Rh 2.86, 4 Ta 2.90
Rh  0.0000  0.5000  0.5000  4 Ta 2.86, 4 Te 2.86, 4 Rh 2.90
Rh  0.5000  0.0000  0.5000  4 Ta 2.86, 4 Te 2.86, 4 Rh 2.90

Computed properties:
* E_tot: -7.49 eV/atom
* E_form (uncorrected): -0.07 eV/atom

# 3
## EuDyTm (GGA-PBE)

Data for crystalline EuDyTm at its relaxed geometry.

Unit cell a=3.6111 b=3.6111 c=8.8527 alpha=90.00 beta=90.00 gamma=120.00
With the nearest neighbours (Å) after each atom.
Element x y z (fractional)
Eu  0.0000  0.0000  0.0000  6 Eu 3.61, 3 Tm 3.68, 3 Dy 3.72
Dy  0.6667  0.3333  0.3483  3 Tm 3.44, 6 Dy 3.61, 3 Eu 3.72
Tm  0.3333  0.6667  0.6573  3 Dy 3.44, 6 Tm 3.61, 3 Eu 3.68

Computed properties:
* E_form: 0.06 eV/atom
* ΔE to the lowest computed polymorph: 0.0000 eV/atom
* E_tot: -6.38 eV/atom

# 4
## LiZrNb2H (GGA-PBE)

Data for crystalline LiZrNb2H at its relaxed geometry.

Unit cell a=4.2975 b=4.2975 c=4.8809 alpha=90.00 beta=90.00 gamma=90.00
With the nearest neighbours (Å) after each atom.
Element x y z (fractional)
Li  0.0000  0.0000  0.0000  4 Nb 2.15
Zr  0.0000  0.0000  0.5000  2 Li 2.44
Nb  0.0000  0.5000  0.0000  2 Li 2.15
Nb  0.5000  0.0000  0.0000  2 Li 2.15
H  0.5000  0.5000  0.5000  4 Zr 3.04, 8 Nb 3.25

Computed properties:
* E_tot: -5.15 eV/atom

# 5
## Dy2YTc (GGA-PBE)

Data for crystalline Dy2YTc at its relaxed geometry.

Unit cell a=6.2574 b=6.2574 c=9.1549 alpha=90.00 beta=90.00 gamma=143.43
With the nearest neighbours (Å) after each atom.
Element x y z (fractional)
Dy  0.1443  0.8557  0.5661  3 Tc 2.92-3.11
Dy  0.1443  0.8557  0.9339  3 Tc 2.92-3.11
Dy  0.8557  0.1443  0.0661  3 Tc 2.92-3.11
Dy  0.8557  0.1443  0.4339  3 Tc 2.92-3.11
Y  0.4280  0.5720  0.7500  2 Tc 2.81
Y  0.5720  0.4280  0.2500  2 Tc 2.81
Tc  0.2409  0.7591  0.2500  2 Y 2.81, 6 Dy 2.92-3.11
Tc  0.7591  0.2409  0.7500  2 Y 2.81, 6 Dy 2.92-3.11

Computed properties:
* E_form: -0.10 eV/atom
* ΔE to the lowest computed polymorph: 0.0033 eV/atom
* E_tot: -6.60 eV/atom

# 6
## CsInTe2 (GGA-PBE)

Data for crystalline CsInTe2 at its relaxed geometry.

Unit cell a=8.1988 b=8.1988 c=7.3498 alpha=99.09 beta=99.09 gamma=61.47
With the nearest neighbours (Å) after each atom.
Element x y z (fractional)
Cs  0.1658  0.1658  0.2855  6 Te 3.88-4.24, 1 In 4.26
Cs  0.8342  0.8342  0.7145  6 Te 3.88-4.24, 1 In 4.26
In  0.3792  0.6208  0.0000  4 Te 2.83-2.85
In  0.3830  0.6170  0.5000  4 Te 2.82-2.86
Te  0.0834  0.6985  0.2125  2 In 2.85-2.86
Te  0.3015  0.9166  0.7875  2 In 2.85-2.86
Te  0.4233  0.3369  0.7078  2 In 2.82-2.83
Te  0.6631  0.5767  0.2922  2 In 2.82-2.83

Computed properties:
* E_tot: -3.18 eV/atom
* E_form (uncorrected): -0.71 eV/atom

# 7
## Ho3Co3Cu (GGA-PBE)

Data for crystalline Ho3Co3Cu at its relaxed geometry.

Unit cell a=5.3054 b=5.3054 c=12.5339 alpha=90.00 beta=90.00 gamma=133.87
With the nearest neighbours (Å) after each atom.
Element x y z (fractional)
Ho  0.0011  0.9989  0.7500  7 Co 2.85-2.98, 2 Cu 3.13
Ho  0.2885  0.7115  0.1030  6 Co 2.77-2.93, 1 Cu 3.10
Ho  0.2885  0.7115  0.3970  6 Co 2.77-2.93, 1 Cu 3.10
Ho  0.7115  0.2885  0.6030  6 Co 2.77-2.93, 1 Cu 3.10
Ho  0.7115  0.2885  0.8970  6 Co 2.77-2.93, 1 Cu 3.10
Ho  0.9989  0.0011  0.2500  7 Co 2.85-2.98, 2 Cu 3.13
Co  0.3019  0.6981  0.7500  2 Co 2.31
Co  0.4225  0.5775  0.5916  1 Co 2.31, 2 Cu 2.49
Co  0.4225  0.5775  0.9084  1 Co 2.31, 2 Cu 2.49
Co  0.5775  0.4225  0.0916  1 Co 2.31, 2 Cu 2.49
Co  0.5775  0.4225  0.4084  1 Co 2.31, 2 Cu 2.49
Co  0.6981  0.3019  0.2500  2 Co 2.31
Cu  0.0000  0.0000  0.0000  4 Co 2.49
Cu  0.0000  0.0000  0.5000  4 Co 2.49

Computed properties:
* E_form: -0.23 eV/atom
* E_tot: -5.82 eV/atom

# 8
## ZrTeAsI2 (GGA-PBE)

Data for crystalline ZrTeAsI2 at its relaxed geometry.

Unit cell a=5.8068 b=5.8068 c=5.6244 alpha=90.00 beta=90.00 gamma=90.00
With the nearest neighbours (Å) after each atom.
Element x y z (fractional)
Zr  0.0000  0.0000  0.0000  2 Te 2.81, 4 I 2.90
Te  0.0000  0.0000  0.5000  2 Zr 2.81
As  0.5000  0.5000  0.5000  8 I 4.04, 4 Te 4.11
I  0.0000  0.5000  0.0000  2 Zr 2.90
I  0.5000  0.0000  0.0000  2 Zr 2.90

Computed properties:
* ΔE to the lowest computed polymorph: 0.0000 eV/atom
* E_tot: -3.80 eV/atom
* E_form (uncorrected): 0.08 eV/atom